No. 1
First-principles (PBE) data for a geometry-optimized AlBiS2 structure, as listed in Alexandria via LeMat-Bulk.

Properties
The value obtained for the electronic total energy is -68.0 eV per cell. The relative energy among the computed polymorphs comes out at 45.5 kJ/mol of atoms. The energy relative to the elements, uncorrected is -282 meV/atom.

Cell: 5.5186 5.5186 11.6387 Å, 90.00 90.00 90.00°
With the nearest neighbours (Å) after each atom.
Sites, in units of the cell vectors:
1 Al 0.0000 0.2500 0.3750  2 S 2.38
2 Al 0.0000 0.7500 0.6250  2 S 2.38
3 Al 0.5000 0.2500 0.1250  2 S 2.38
4 Al 0.5000 0.7500 0.8750  2 S 2.38
5 Bi 0.0000 0.2500 0.8750  4 S 2.81
6 Bi 0.0000 0.7500 0.1250  4 S 2.81
7 Bi 0.5000 0.2500 0.6250  4 S 2.81
8 Bi 0.5000 0.7500 0.3750  4 S 2.81
9 S 0.0000 0.2500 0.1703  1 Al 2.38
10 S 0.0000 0.2500 0.5797  1 Al 2.38
11 S 0.0000 0.7500 0.4203  1 Al 2.38
12 S 0.0000 0.7500 0.8297  1 Al 2.38
13 S 0.5000 0.2500 0.3297  1 Al 2.38
14 S 0.5000 0.2500 0.9203  1 Al 2.38
15 S 0.5000 0.7500 0.0797  1 Al 2.38
16 S 0.5000 0.7500 0.6703  1 Al 2.38

---

No. 2
First-principles (PBE) data for a geometry-optimized AlBi2S5 structure, as listed in Alexandria via LeMat-Bulk.

Properties
The value obtained for the electronic total energy is -70.1 eV per cell. The energy relative to the elements, uncorrected is -361 meV/atom.

Cell: 7.2203 7.2203 11.9633 Å, 90.00 90.00 135.87°
With the nearest neighbours (Å) after each atom.
Sites, in units of the cell vectors:
1 Al 0.1909 0.8091 0.7500  4 S 2.34-2.38
2 Al 0.8091 0.1909 0.2500  4 S 2.34-2.38
3 Bi 0.1506 0.8494 0.0668  6 S 2.71-2.84
4 Bi 0.1506 0.8494 0.4332  6 S 2.71-2.84
5 Bi 0.8494 0.1506 0.5668  6 S 2.71-2.84
6 Bi 0.8494 0.1506 0.9332  6 S 2.71-2.84
7 S 0.0519 0.9481 0.6312  1 Al 2.34
8 S 0.0519 0.9481 0.8688  1 Al 2.34
9 S 0.2806 0.7194 0.2500  2 Al 2.74, 2 Bi 2.80
10 S 0.3043 0.6957 0.5963  1 Al 2.38
11 S 0.3043 0.6957 0.9037  1 Al 2.38
12 S 0.6957 0.3043 0.0963  1 Al 2.38
13 S 0.6957 0.3043 0.4037  1 Al 2.38
14 S 0.7194 0.2806 0.7500  2 Al 2.74, 2 Bi 2.80
15 S 0.9481 0.0519 0.1312  1 Al 2.34
16 S 0.9481 0.0519 0.3688  1 Al 2.34

---

No. 3
First-principles (PBE) data for a geometry-optimized Al3BiS6 structure, as listed in Alexandria via LeMat-Bulk.

Properties
The value obtained for the electronic total energy is -96.1 eV per cell. The energy relative to the elements, uncorrected is -819 meV/atom.

Cell: 11.2056 3.6184 12.0984 Å, 90.00 116.55 90.00°
With the nearest neighbours (Å) after each atom.
Sites, in units of the cell vectors:
1 Al 0.0418 0.2500 0.1137  4 S 2.24-2.31
2 Al 0.0547 0.2500 0.6404  6 S 2.34-2.51
3 Al 0.3687 0.7500 0.9547  5 S 2.30-2.46
4 Al 0.6313 0.2500 0.0453  5 S 2.30-2.46
5 Al 0.9453 0.7500 0.3596  6 S 2.34-2.51
6 Al 0.9582 0.7500 0.8863  4 S 2.24-2.31
7 Bi 0.3348 0.2500 0.4988  4 S 2.62-2.89
8 Bi 0.6652 0.7500 0.5012  4 S 2.62-2.89
9 S 0.0679 0.2500 0.3084  1 Al 2.24
10 S 0.1401 0.7500 0.5627  3 Al 2.42-2.45
11 S 0.1449 0.7500 0.0746  3 Al 2.30-2.31
12 S 0.2160 0.2500 0.8472  3 Al 2.34-2.43
13 S 0.3776 0.7500 0.3644  3 Bi 2.62-2.89
14 S 0.4645 0.2500 0.1070  3 Al 2.30-2.46
15 S 0.5355 0.7500 0.8930  3 Al 2.30-2.46
16 S 0.6224 0.2500 0.6356  3 Bi 2.62-2.89
17 S 0.7840 0.7500 0.1528  3 Al 2.34-2.43
18 S 0.8551 0.2500 0.9254  3 Al 2.30-2.31
19 S 0.8599 0.2500 0.4373  3 Al 2.42-2.45
20 S 0.9321 0.7500 0.6916  1 Al 2.24

---

No. 4
First-principles (PBE) data for a geometry-optimized Al2BiS2 structure, as listed in Alexandria via LeMat-Bulk.

Properties
The value obtained for the electronic total energy is -40.2 eV per cell. The relative energy among the computed polymorphs comes out at 0.0 kJ/mol of atoms. The energy relative to the elements, uncorrected is -91 meV/atom.

Cell: 4.3812 4.3812 11.5028 Å, 90.00 90.00 90.00°
With the nearest neighbours (Å) after each atom.
Sites, in units of the cell vectors:
1 Al 0.0000 0.5000 0.2500  4 S 2.42
2 Al 0.0000 0.5000 0.7500  4 S 2.42
3 Al 0.5000 0.0000 0.2500  4 S 2.42
4 Al 0.5000 0.0000 0.7500  4 S 2.42
5 Bi 0.0000 0.0000 0.0000  10 S 3.61-3.90, 8 Al 3.62
6 Bi 0.5000 0.5000 0.5000  10 S 3.61-3.90, 8 Al 3.62
7 S 0.0000 0.0000 0.3394  4 Al 2.42
8 S 0.0000 0.0000 0.6606  4 Al 2.42
9 S 0.5000 0.5000 0.1606  4 Al 2.42
10 S 0.5000 0.5000 0.8394  4 Al 2.42

---

No. 5
First-principles (PBE) data for a geometry-optimized Al2BiS2 structure, as listed in Alexandria via LeMat-Bulk.

Properties
The value obtained for the electronic total energy is -38.7 eV per cell. The relative energy among the computed polymorphs comes out at 14.3 kJ/mol of atoms. The energy relative to the elements, uncorrected is 57 meV/atom.

Cell: 7.8282 7.8282 3.3362 Å, 90.00 90.00 90.00°
With the nearest neighbours (Å) after each atom.
Sites, in units of the cell vectors:
1 Al 0.1327 0.3673 0.0000  4 S 2.70, 1 Al 2.94
2 Al 0.3673 0.8673 0.0000  4 S 2.70, 1 Al 2.94
3 Al 0.6327 0.1327 0.0000  4 S 2.70, 1 Al 2.94
4 Al 0.8673 0.6327 0.0000  4 S 2.70, 1 Al 2.94
5 Bi 0.0000 0.0000 0.5000  4 S 3.03, 2 Bi 3.34
6 Bi 0.5000 0.5000 0.5000  4 S 3.03, 2 Bi 3.34
7 S 0.1385 0.6385 0.5000  4 Al 2.70
8 S 0.3615 0.1385 0.5000  4 Al 2.70
9 S 0.6385 0.8615 0.5000  4 Al 2.70
10 S 0.8615 0.3615 0.5000  4 Al 2.70

---

No. 6
First-principles (PBE) data for a geometry-optimized AlBiS2 structure, as listed in Alexandria via LeMat-Bulk.

Properties
The value obtained for the electronic total energy is -37.8 eV per cell. The relative energy among the computed polymorphs comes out at 0.0 kJ/mol of atoms. The energy relative to the elements, uncorrected is -754 meV/atom.

Cell: 3.5510 6.1264 8.4849 Å, 75.98 89.80 89.98°
With the nearest neighbours (Å) after each atom.
Sites, in units of the cell vectors:
1 Al 0.2496 0.2502 0.0001  6 S 2.42-2.44
2 Al 0.7504 0.7498 0.9999  6 S 2.42-2.44
3 Bi 0.2075 0.7501 0.4997  2 S 2.81-2.82
4 Bi 0.7925 0.2499 0.5003  2 S 2.81-2.82
5 S 0.2460 0.8634 0.1582  3 Al 2.42-2.44
6 S 0.2488 0.6367 0.8415  3 Al 2.42-2.43
7 S 0.7512 0.3633 0.1585  3 Al 2.42-2.43
8 S 0.7540 0.1366 0.8418  3 Al 2.42-2.44

---

No. 7
First-principles (PBE) data for a geometry-optimized AlBiS2 structure, as listed in Alexandria via LeMat-Bulk.

Properties
The value obtained for the electronic total energy is -72.1 eV per cell. The relative energy among the computed polymorphs comes out at 21.2 kJ/mol of atoms. The energy relative to the elements, uncorrected is -535 meV/atom.

Cell: 7.9857 10.4712 5.9281 Å, 90.00 112.52 90.00°
With the nearest neighbours (Å) after each atom.
Sites, in units of the cell vectors:
1 Al 0.0000 0.0034 0.2500  4 S 2.27-2.28
2 Al 0.0000 0.9966 0.7500  4 S 2.27-2.28
3 Al 0.5000 0.4966 0.7500  4 S 2.27-2.28
4 Al 0.5000 0.5034 0.2500  4 S 2.27-2.28
5 Bi 0.0000 0.4422 0.7500  2 S 2.92, 2 Bi 3.20
6 Bi 0.0000 0.5578 0.2500  2 S 2.92, 2 Bi 3.20
7 Bi 0.5000 0.0578 0.2500  2 S 2.92, 2 Bi 3.20
8 Bi 0.5000 0.9422 0.7500  2 S 2.92, 2 Bi 3.20
9 S 0.1798 0.1056 0.5979  2 Al 2.27-2.28
10 S 0.1798 0.8944 0.0979  2 Al 2.27-2.28
11 S 0.3202 0.3944 0.4021  2 Al 2.27-2.28
12 S 0.3202 0.6056 0.9021  2 Al 2.27-2.28
13 S 0.6798 0.3944 0.0979  2 Al 2.27-2.28
14 S 0.6798 0.6056 0.5979  2 Al 2.27-2.28
15 S 0.8202 0.1056 0.9021  2 Al 2.27-2.28
16 S 0.8202 0.8944 0.4021  2 Al 2.27-2.28

---

No. 8
First-principles (PBE) data for a geometry-optimized AlBiS2 structure, as listed in Alexandria via LeMat-Bulk.

Properties
The value obtained for the electronic total energy is -56.7 eV per cell. The relative energy among the computed polymorphs comes out at 0.1 kJ/mol of atoms. The energy relative to the elements, uncorrected is -753 meV/atom.

Cell: 3.5354 3.5354 24.6776 Å, 90.00 90.00 120.00°
With the nearest neighbours (Å) after each atom.
Sites, in units of the cell vectors:
1 Al 0.0000 0.0000 0.0000  6 S 2.42
2 Al 0.3333 0.6667 0.6667  6 S 2.42
3 Al 0.6667 0.3333 0.3333  6 S 2.42
4 Bi 0.0000 0.0000 0.5000  2 S 2.81
5 Bi 0.3333 0.6667 0.1667  2 S 2.81
6 Bi 0.6667 0.3333 0.8333  2 S 2.81
7 S 0.0000 0.0000 0.3862  3 Al 2.42
8 S 0.0000 0.0000 0.6138  3 Al 2.42
9 S 0.3333 0.6667 0.0528  3 Al 2.42
10 S 0.3333 0.6667 0.2805  3 Al 2.42
11 S 0.6667 0.3333 0.7195  3 Al 2.42
12 S 0.6667 0.3333 0.9472  3 Al 2.42

---

No. 9
First-principles (PBE) data for a geometry-optimized AlBiS2 structure, as listed in Alexandria via LeMat-Bulk.

Properties
The value obtained for the electronic total energy is -73.6 eV per cell. The relative energy among the computed polymorphs comes out at 12.1 kJ/mol of atoms. The energy relative to the elements, uncorrected is -628 meV/atom.

Cell: 8.7097 3.3920 14.7993 Å, 90.00 106.57 90.00°
With the nearest neighbours (Å) after each atom.
Sites, in units of the cell vectors:
1 Al 0.1541 0.0071 0.2965  5 S 2.32-2.41
2 Al 0.1541 0.4929 0.7965  5 S 2.32-2.41
3 Al 0.8459 0.5071 0.2035  5 S 2.32-2.41
4 Al 0.8459 0.9929 0.7035  5 S 2.32-2.41
5 Bi 0.4259 0.0050 0.1439  1 S 2.63
6 Bi 0.4259 0.4950 0.6439  1 S 2.63
7 Bi 0.5741 0.5050 0.3561  1 S 2.63
8 Bi 0.5741 0.9950 0.8561  1 S 2.63
9 S 0.0955 0.5074 0.1762  3 Al 2.32-2.41
10 S 0.0955 0.9926 0.6762  3 Al 2.32-2.41
11 S 0.3003 0.5067 0.3975  2 Al 2.38, 1 Bi 2.63
12 S 0.3003 0.9933 0.8975  2 Al 2.38, 1 Bi 2.63
13 S 0.6997 0.0067 0.1025  2 Al 2.38, 1 Bi 2.63
14 S 0.6997 0.4933 0.6025  2 Al 2.38, 1 Bi 2.63
15 S 0.9045 0.0074 0.3238  3 Al 2.32-2.41
16 S 0.9045 0.4926 0.8238  3 Al 2.32-2.41

---

No. 10
First-principles (PBE) data for a geometry-optimized AlBiS2 structure, as listed in Alexandria via LeMat-Bulk.

Properties
The value obtained for the electronic total energy is -142.7 eV per cell. The relative energy among the computed polymorphs comes out at 25.4 kJ/mol of atoms. The energy relative to the elements, uncorrected is -491 meV/atom.

Cell: 7.8185 7.8185 14.4280 Å, 95.58 95.58 84.59°
With the nearest neighbours (Å) after each atom.
Sites, in units of the cell vectors:
1 Al 0.0827 0.7105 0.6585  5 S 2.29-2.47
2 Al 0.2599 0.4306 0.8338  4 S 2.34-2.57
3 Al 0.2895 0.9173 0.8415  5 S 2.29-2.47
4 Al 0.4306 0.2599 0.3338  4 S 2.34-2.57
5 Al 0.5694 0.7401 0.6662  4 S 2.34-2.57
6 Al 0.7105 0.0827 0.1585  5 S 2.29-2.47
7 Al 0.7401 0.5694 0.1662  4 S 2.34-2.57
8 Al 0.9173 0.2895 0.3415  5 S 2.29-2.47
9 Bi 0.1055 0.1583 0.0834  2 S 2.68-2.75
10 Bi 0.1583 0.1055 0.5834  2 S 2.68-2.75
11 Bi 0.2460 0.4790 0.2005  1 S 2.59, 1 Al 2.89
12 Bi 0.4790 0.2460 0.7005  1 S 2.59, 1 Al 2.89
13 Bi 0.5210 0.7540 0.2995  1 S 2.59, 1 Al 2.89
14 Bi 0.7540 0.5210 0.7995  1 S 2.59, 1 Al 2.89
15 Bi 0.8417 0.8945 0.4166  2 S 2.68-2.75
16 Bi 0.8945 0.8417 0.9166  2 S 2.68-2.75
17 S 0.0324 0.4441 0.7158  2 Al 2.34-2.39, 1 Bi 2.59
18 S 0.0363 0.9637 0.7500  2 Al 2.29
19 S 0.2033 0.2708 0.4293  2 Al 2.34-2.46
20 S 0.2216 0.7072 0.9441  2 Al 2.44-2.57, 1 Bi 2.68
21 S 0.2708 0.2033 0.9293  2 Al 2.34-2.46
22 S 0.2928 0.7784 0.5559  2 Al 2.44-2.57, 1 Bi 2.68
23 S 0.3599 0.6401 0.7500  4 Al 2.36-2.47
24 S 0.4441 0.0324 0.2158  2 Al 2.34-2.39, 1 Bi 2.59
25 S 0.5559 0.9676 0.7842  2 Al 2.34-2.39, 1 Bi 2.59
26 S 0.6401 0.3599 0.2500  4 Al 2.36-2.47
27 S 0.7072 0.2216 0.4441  2 Al 2.44-2.57, 1 Bi 2.68
28 S 0.7292 0.7967 0.0707  2 Al 2.34-2.46
29 S 0.7784 0.2928 0.0559  2 Al 2.44-2.57, 1 Bi 2.68
30 S 0.7967 0.7292 0.5707  2 Al 2.34-2.46
31 S 0.9637 0.0363 0.2500  2 Al 2.29
32 S 0.9676 0.5559 0.2842  2 Al 2.34-2.39, 1 Bi 2.59

---

No. 11
First-principles (PBE) data for a geometry-optimized AlSnBi2S structure, as listed in Alexandria via LeMat-Bulk.

Properties
The value obtained for the electronic total energy is -18.1 eV per cell. The energy relative to the elements, uncorrected is 301 meV/atom.

Cell: 5.5546 5.5546 4.7353 Å, 90.00 90.00 90.00°
With the nearest neighbours (Å) after each atom.
Sites, in units of the cell vectors:
1 Al 0.0000 0.0000 0.0000  2 S 2.37
2 Sn 0.5000 0.5000 0.0000  8 Bi 3.65, 4 Al 3.93
3 Bi 0.0000 0.5000 0.5000  2 S 2.78
4 Bi 0.5000 0.0000 0.5000  2 S 2.78
5 S 0.0000 0.0000 0.5000  2 Al 2.37

---

No. 12
First-principles (PBE) data for a geometry-optimized SrAlBiS4 structure, as listed in Alexandria via LeMat-Bulk.

Properties
The value obtained for the electronic total energy is -67.1 eV per cell. The energy relative to the elements, uncorrected is -1108 meV/atom.

Cell: 6.6986 6.8658 8.0969 Å, 90.00 107.46 90.00°
With the nearest neighbours (Å) after each atom.
Sites, in units of the cell vectors:
1 Sr 0.2459 0.2500 0.4414  6 S 2.93-3.17
2 Sr 0.7541 0.7500 0.5586  6 S 2.93-3.17
3 Al 0.2595 0.7500 0.1864  4 S 2.23-2.25
4 Al 0.7405 0.2500 0.8136  4 S 2.23-2.25
5 Bi 0.2739 0.2500 0.9592  4 S 2.70-2.87
6 Bi 0.7261 0.7500 0.0408  4 S 2.70-2.87
7 S 0.0532 0.7500 0.3578  1 Al 2.23
8 S 0.0529 0.7500 0.9108  1 Al 2.25
9 S 0.4869 0.0009 0.2410  1 Al 2.25
10 S 0.4869 0.4991 0.2410  1 Al 2.25
11 S 0.5131 0.5009 0.7590  1 Al 2.25
12 S 0.5131 0.9991 0.7590  1 Al 2.25
13 S 0.9471 0.2500 0.0892  1 Al 2.25
14 S 0.9468 0.2500 0.6422  1 Al 2.23